[1]
A plane-wave DFT calculation with GGA-PBE was carried out for an optimized crystal structure of NdErCoPd.

Summary:
The symmetry is F-43m, No. 216. Its formation energy is -0.4068 eV per atom. The volume is 84.04 Å³/cell.

Structure (POSCAR):
```
NdErCoPd
1.0
0.0000 3.4765 3.4765
3.4765 0.0000 3.4765
3.4765 3.4765 0.0000
Nd Er Co Pd
1 1 1 1
Direct
0.0000 0.0000 0.0000
0.5000 0.5000 0.5000
0.7500 0.7500 0.7500
0.2500 0.2500 0.2500
```

---

[2]
A plane-wave DFT calculation with GGA-PBE was carried out for an optimized crystal structure of NdErCoRh.

Summary:
The symmetry is F-43m, No. 216. Its formation energy is -0.3984 eV per atom. The volume is 81.18 Å³/cell.

Structure (POSCAR):
```
NdErCoRh
1.0
0.0000 3.4367 3.4367
3.4367 0.0000 3.4367
3.4367 3.4367 0.0000
Nd Er Co Rh
1 1 1 1
Direct
0.0000 0.0000 0.0000
0.5000 0.5000 0.5000
0.2500 0.2500 0.2500
0.7500 0.7500 0.7500
```

---

[3]
A plane-wave DFT calculation with GGA-PBE was carried out for an optimized crystal structure of NdErCoRu.

Summary:
The symmetry is F-43m, No. 216. Its formation energy is -0.1305 eV per atom. The volume is 79.72 Å³/cell.

Structure (POSCAR):
```
NdErCoRu
1.0
0.0000 3.4160 3.4160
3.4160 0.0000 3.4160
3.4160 3.4160 0.0000
Nd Er Co Ru
1 1 1 1
Direct
0.0000 0.0000 0.0000
0.5000 0.5000 0.5000
0.7500 0.7500 0.7500
0.2500 0.2500 0.2500
```

---

[4]
A plane-wave DFT calculation with GGA-PBE was carried out for an optimized crystal structure of NdErZnCo.

Summary:
The symmetry is F-43m, No. 216. Its formation energy is -0.1713 eV per atom. The volume is 85.21 Å³/cell.

Structure (POSCAR):
```
NdErZnCo
1.0
0.0000 3.4926 3.4926
3.4926 0.0000 3.4926
3.4926 3.4926 0.0000
Nd Er Zn Co
1 1 1 1
Direct
0.0000 0.0000 0.0000
0.5000 0.5000 0.5000
0.2500 0.2500 0.2500
0.7500 0.7500 0.7500
```

---

[5]
A plane-wave DFT calculation with GGA-PBE was carried out for an optimized crystal structure of Er3CoNi2.

Summary:
The symmetry is Pnma, No. 62. Its formation energy is -0.3633 eV per atom. The volume is 474.74 Å³/cell.

Structure (POSCAR):
```
Er3CoNi2
1.0
10.9412 0.0000 0.0000
0.0000 3.8855 0.0000
0.0000 0.0000 11.1672
Er Co Ni
12 4 8
Direct
0.0568 0.2500 0.1238
0.1193 0.7500 0.5564
0.2099 0.2500 0.8017
0.2901 0.7500 0.3017
0.3807 0.2500 0.0564
0.4432 0.7500 0.6238
0.5568 0.2500 0.3762
0.6193 0.7500 0.9436
0.7099 0.2500 0.6983
0.7901 0.7500 0.1983
0.8807 0.2500 0.4436
0.9432 0.7500 0.8762
0.1272 0.2500 0.3698
0.3728 0.7500 0.8698
0.6272 0.2500 0.1302
0.8728 0.7500 0.6302
0.0229 0.7500 0.3100
0.1908 0.7500 0.9910
0.3092 0.2500 0.4910
0.4771 0.2500 0.8100
0.5229 0.7500 0.1900
0.6908 0.7500 0.5090
0.8092 0.2500 0.0090
0.9771 0.2500 0.6900
```

---

[6]
A plane-wave DFT calculation with GGA-PBE was carried out for an optimized crystal structure of ErCoNi2.

Summary:
The symmetry is Pmma, No. 51. Its formation energy is 0.3622 eV per atom. The volume is 287.19 Å³/cell.

Structure (POSCAR):
```
ErCoNi2
1.0
4.8782 0.0000 0.0000
0.0000 5.6509 0.0000
0.0000 0.0000 10.4182
Er Co Ni
4 4 8
Direct
0.2500 0.0000 0.0896
0.2500 0.5000 0.7057
0.7500 0.0000 0.9104
0.7500 0.5000 0.2943
0.2500 0.0000 0.3007
0.2500 0.5000 0.2040
0.7500 0.0000 0.6993
0.7500 0.5000 0.7960
0.0000 0.0000 0.5000
0.0000 0.5000 0.0000
0.2500 0.3146 0.4288
0.2500 0.6854 0.4288
0.5000 0.0000 0.5000
0.5000 0.5000 0.0000
0.7500 0.3146 0.5712
0.7500 0.6854 0.5712
```

---

[7]
A plane-wave DFT calculation with GGA-PBE was carried out for an optimized crystal structure of Er2Co5Ni12.

Summary:
The symmetry is R-3m, No. 166. Its formation energy is -0.1764 eV per atom. The volume is 238.09 Å³/cell.

Structure (POSCAR):
```
Er2Co5Ni12
1.0
4.1316 2.3854 4.0264
-4.1316 2.3854 4.0264
0.0000 -4.7707 4.0264
Er Co Ni
2 5 12
Direct
0.1567 0.1567 0.1567
0.8433 0.8433 0.8433
0.0000 0.5000 0.5000
0.4052 0.4052 0.4052
0.5000 0.0000 0.5000
0.5000 0.5000 0.0000
0.5948 0.5948 0.5948
0.1562 0.1562 0.6489
0.1562 0.6489 0.1562
0.2030 0.5000 0.7970
0.2030 0.7970 0.5000
0.3511 0.8438 0.8438
0.5000 0.2030 0.7970
0.5000 0.7970 0.2030
0.6489 0.1562 0.1562
0.7970 0.2030 0.5000
0.7970 0.5000 0.2030
0.8438 0.3511 0.8438
0.8438 0.8438 0.3511
```

---

[8]
A plane-wave DFT calculation with GGA-PBE was carried out for an optimized crystal structure of Er4CoNi.

Summary:
The energy relative to the lowest polymorph listed for this composition comes out at 0 meV per atom. The symmetry is I4/mcm, No. 140. Its formation energy is -0.1713 eV per atom. The volume is 273.89 Å³/cell.

Structure (POSCAR):
```
Er4CoNi
1.0
-3.3048 3.3048 6.2693
3.3048 -3.3048 6.2693
3.3048 3.3048 -6.2693
Er Co Ni
8 2 2
Direct
0.0533 0.5533 0.8676
0.1857 0.0533 0.5000
0.3143 0.8143 0.8676
0.4467 0.3143 0.5000
0.5533 0.6857 0.5000
0.6857 0.1857 0.1324
0.8143 0.9467 0.5000
0.9467 0.4467 0.1324
0.2500 0.2500 0.0000
0.7500 0.7500 0.0000
0.0000 0.0000 0.0000
0.5000 0.5000 0.0000
```

---

[9]
A plane-wave DFT calculation with GGA-PBE was carried out for an optimized crystal structure of ErCoNi.

Summary:
The symmetry is R3m, No. 160. Its formation energy is 0.1565 eV per atom. The volume is 55.34 Å³/cell.

Structure (POSCAR):
```
ErCoNi
1.0
1.8165 1.0488 4.8415
-1.8165 1.0488 4.8415
0.0000 -2.0975 4.8415
Er Co Ni
1 1 1
Direct
0.0000 0.0000 0.0000
0.1953 0.1953 0.1953
0.8054 0.8054 0.8054
```

---

[10]
A plane-wave DFT calculation with GGA-PBE was carried out for an optimized crystal structure of ErCo4Ni8.

Summary:
The symmetry is I4/mmm, No. 139. Its formation energy is -0.0890 eV per atom. The volume is 157.76 Å³/cell.

Structure (POSCAR):
```
ErCo4Ni8
1.0
-4.1164 4.1164 2.3276
4.1164 -4.1164 2.3276
4.1164 4.1164 -2.3276
Er Co Ni
1 4 8
Direct
0.0000 0.0000 0.0000
0.0000 0.0000 0.5000
0.0000 0.5000 0.0000
0.5000 0.0000 0.0000
0.5000 0.5000 0.5000
0.0000 0.3549 0.3549
0.0000 0.6451 0.6451
0.2804 0.5000 0.7804
0.3549 0.0000 0.3549
0.5000 0.2804 0.7804
0.5000 0.7196 0.2196
0.6451 0.0000 0.6451
0.7196 0.5000 0.2196
```

---

[11]
A plane-wave DFT calculation with GGA-PBE was carried out for an optimized crystal structure of Er7Co2Ni2.

Summary:
The symmetry is Cmmm, No. 65. Its formation energy is -0.0827 eV per atom. The volume is 255.22 Å³/cell.

Structure (POSCAR):
```
Er7Co2Ni2
1.0
3.6166 -5.2719 0.0000
3.6166 5.2719 0.0000
0.0000 0.0000 6.6930
Er Co Ni
7 2 2
Direct
0.0000 0.0000 0.0000
0.0000 0.5000 0.2624
0.0000 0.5000 0.7376
0.5000 0.0000 0.2624
0.5000 0.0000 0.7376
0.5000 0.5000 0.2562
0.5000 0.5000 0.7438
0.2969 0.7031 0.0000
0.7031 0.2969 0.0000
0.1724 0.1724 0.5000
0.8276 0.8276 0.5000
```

---

[12]
A plane-wave DFT calculation with GGA-PBE was carried out for an optimized crystal structure of Er4CoNi.

Summary:
The energy relative to the lowest polymorph listed for this composition comes out at 4 meV per atom. The symmetry is I4_1md, No. 109. Its formation energy is -0.1675 eV per atom. The volume is 314.54 Å³/cell.

Structure (POSCAR):
```
Er4CoNi
1.0
-4.4955 4.4955 3.8910
4.4955 -4.4955 3.8910
4.4955 4.4955 -3.8910
Er Co Ni
8 2 2
Direct
0.2001 0.0000 0.2001
0.2408 0.5372 0.2964
0.2408 0.9445 0.7036
0.2872 0.4908 0.7964
0.6945 0.4908 0.2036
0.7500 0.0499 0.2999
0.7500 0.4501 0.7001
0.7999 0.0000 0.7999
0.2462 0.2462 0.0000
0.9962 0.4962 0.5000
0.4943 0.9943 0.5000
0.7443 0.7443 0.0000
```